Entry 1:
## Tm3Zr3Sb2Ir (PBE)

Data for a geometry-optimized Tm3Zr3Sb2Ir structure.

Lattice parameters (Å, degrees): 8.041 8.041 3.788 90.00 90.00 120.00
Atoms (fractional coordinates):
Zr  0.401  0.000  0.000
Zr  0.000  0.401  0.000
Zr  0.599  0.599  0.000
Ir  0.000  0.000  0.000
Tm  0.249  0.249  0.500
Tm  0.000  0.751  0.500
Tm  0.751  0.000  0.500
Sb  0.333  0.667  0.500
Sb  0.667  0.333  0.500

The crystal system is hexagonal.

=====

Entry 2:
## Tm3Zr3Sb2Ir (PBE)

Data for a geometry-optimized Tm3Zr3Sb2Ir structure.

Lattice parameters (Å, degrees): 7.977 7.977 3.939 90.00 90.00 120.00
Each line ends with the local moment (μB).
Atoms (fractional coordinates):
Tm  0.000  0.397  0.000  0.04
Tm  0.397  0.000  0.000  0.05
Tm  0.603  0.603  0.000  0.05
Zr  0.000  0.761  0.500  0.06
Zr  0.239  0.239  0.500  0.06
Zr  0.761  0.000  0.500  0.06
Sb  0.333  0.667  0.500  0.00
Sb  0.667  0.333  0.500  0.00
Ir  0.000  0.000  0.000  0.02

The crystal system is hexagonal.

=====

Entry 3:
## Sb2IrW (PBE)

Data for a geometry-optimized Sb2IrW structure.

Lattice parameters (Å, degrees): 4.788 4.788 4.788 60.00 60.00 60.00
Each line ends with the local moment (μB).
Atoms (fractional coordinates):
W  0.500  0.500  0.500  0.48
Sb  0.000  0.000  0.000  0.03
Sb  0.750  0.750  0.750  0.01
Ir  0.250  0.250  0.250  0.21

The crystal system is cubic.

=====

Entry 4:
## YSbIr (PBE)

Data for a geometry-optimized YSbIr structure.

Lattice parameters (Å, degrees): 8.215 8.215 3.273 90.00 90.00 120.00
Atoms (fractional coordinates):
Y  0.700  0.700  0.500
Y  0.000  0.300  0.500
Y  0.300  0.000  0.500
Sb  0.333  0.667  0.500
Sb  0.667  0.333  0.500
Sb  0.000  0.000  0.000
Ir  0.355  0.355  0.000
Ir  0.645  0.000  0.000
Ir  0.000  0.645  0.000

The crystal system is hexagonal.

=====

Entry 5:
## YSbIr (PBE)

Data for a geometry-optimized YSbIr structure.

Lattice parameters (Å, degrees): 7.446 7.446 4.002 90.00 90.00 120.00
Atoms (fractional coordinates):
Sb  0.265  0.000  0.000
Sb  0.735  0.735  0.000
Sb  0.000  0.265  0.000
Y  0.600  0.000  0.500
Y  0.400  0.400  0.500
Y  0.000  0.600  0.500
Ir  0.667  0.333  0.000
Ir  0.000  0.000  0.500
Ir  0.333  0.667  0.000

The crystal system is hexagonal.

=====

Entry 6:
## YSbIr (PBE)

Data for a geometry-optimized YSbIr structure.

Lattice parameters (Å, degrees): 6.997 6.997 4.448 90.00 90.00 120.00
Atoms (fractional coordinates):
Ir  0.762  0.762  0.000
Ir  0.238  0.000  0.000
Ir  0.000  0.238  0.000
Y  0.568  0.000  0.500
Y  0.432  0.432  0.500
Y  0.000  0.568  0.500
Sb  0.667  0.333  0.000
Sb  0.333  0.667  0.000
Sb  0.000  0.000  0.500

The crystal system is hexagonal.

=====

Entry 7:
## Zr2SbIr (PBE)

Data for a geometry-optimized Zr2SbIr structure.

Lattice parameters (Å, degrees): 4.820 4.820 4.820 60.00 60.00 60.00
Each line ends with the local moment (μB).
Atoms (fractional coordinates):
Ir  0.250  0.250  0.250  0.18
Sb  0.500  0.500  0.500  -0.01
Zr  0.750  0.750  0.750  0.88
Zr  0.000  0.000  0.000  0.39

The crystal system is cubic.

=====

Entry 8:
## ZrSbIr (PBE)

Data for a geometry-optimized ZrSbIr structure.

Lattice parameters (Å, degrees): 6.937 6.937 4.203 90.00 90.00 120.00
Atoms (fractional coordinates):
Ir  0.748  0.748  0.000
Ir  0.252  0.000  0.000
Ir  0.000  0.252  0.000
Zr  0.580  0.000  0.500
Zr  0.420  0.420  0.500
Zr  0.000  0.580  0.500
Sb  0.000  0.000  0.500
Sb  0.667  0.333  0.000
Sb  0.333  0.667  0.000

The crystal system is hexagonal.

=====

Entry 9:
## ZrSbIr (PBE)

Data for a geometry-optimized ZrSbIr structure.

Lattice parameters (Å, degrees): 7.882 7.882 3.166 90.00 90.00 120.00
Atoms (fractional coordinates):
Sb  0.667  0.333  0.000
Sb  0.333  0.667  0.000
Sb  0.000  0.000  0.500
Ir  0.352  0.352  0.500
Ir  0.000  0.648  0.500
Ir  0.648  0.000  0.500
Zr  0.304  0.000  0.000
Zr  0.696  0.696  0.000
Zr  0.000  0.304  0.000

The crystal system is hexagonal.

=====

Entry 10:
## ZrSbIr2 (PBE)

Data for a geometry-optimized ZrSbIr2 structure.

Lattice parameters (Å, degrees): 4.665 4.665 4.665 60.00 60.00 60.00
Atoms (fractional coordinates):
Ir  0.000  0.000  0.000
Ir  0.750  0.750  0.750
Zr  0.250  0.250  0.250
Sb  0.500  0.500  0.500

The crystal system is cubic.

=====

Entry 11:
## ZrSbIr (PBE)

Data for a geometry-optimized ZrSbIr structure.

Lattice parameters (Å, degrees): 7.156 7.156 4.048 90.00 90.00 120.00
Atoms (fractional coordinates):
Sb  0.000  0.273  0.000
Sb  0.273  0.000  0.000
Sb  0.727  0.727  0.000
Ir  0.333  0.667  0.000
Ir  0.667  0.333  0.000
Ir  0.000  0.000  0.500
Zr  0.000  0.605  0.500
Zr  0.605  0.000  0.500
Zr  0.395  0.395  0.500

The crystal system is hexagonal.

=====

Entry 12:
## ZrSbIr (PBE)

Data for a geometry-optimized ZrSbIr structure.

Lattice parameters (Å, degrees): 4.482 4.482 7.010 90.00 90.00 120.00
Atoms (fractional coordinates):
Zr  0.000  0.000  0.715
Zr  0.000  0.000  0.215
Sb  0.667  0.333  0.960
Sb  0.333  0.667  0.460
Ir  0.667  0.333  0.575
Ir  0.333  0.667  0.075

The crystal system is hexagonal.

=====

Total moment values (in μB/f.u.) by entry order: 0.0; 0.5; 0.9; 0.0; 0.0; 0.0; 2.0; 0.0; 0.0; 0.0; 0.0; 0.0.
Electronic total energy values (in eV/atom) by entry order: -6.8776; -6.9615; -6.6651; -6.7371; -7.3480; -7.2787; -7.6833; -7.7451; -7.4344; -7.6829; -7.8185; -7.8999.